VASP calculation (PBE) on a relaxed structure of SrTi2Tl2.

Computed properties:
* N(E_F): 0.608 states/eV per atom
* magnetic moment: 5.831 Bohr magnetons per cell
* energy of formation from the pure elements: 92 meV per atom
* E above lowest polymorph: 0.0000 eV per atom

Lattice parameters (Å, degrees): 8.6948 8.6948 3.1822 90.00 90.00 90.00
Fractional coordinates of all 10 atoms:
Sr (0.0000, 0.0000, 0.0000)
Sr (0.5000, 0.5000, 0.0000)
Ti (0.1111, 0.3889, 0.0000)
Ti (0.3889, 0.8889, 0.0000)
Ti (0.6111, 0.1111, 0.0000)
Ti (0.8889, 0.6111, 0.0000)
Tl (0.1805, 0.6805, 0.5000)
Tl (0.3195, 0.1805, 0.5000)
Tl (0.6805, 0.8195, 0.5000)
Tl (0.8195, 0.3195, 0.5000)

=====

VASP calculation (PBE) on a relaxed structure of ErThNi2.

Computed properties:
* N(E_F): 0.712 states/eV per atom
* magnetic moment: 0.000 Bohr magnetons per cell
* energy of formation from the pure elements: -369 meV per atom
* E above lowest polymorph: 0.1001 eV per atom

Lattice parameters (Å, degrees): 5.0733 5.0733 5.0733 55.12 55.12 55.12
Fractional coordinates of all 4 atoms:
Er (0.0000, 0.0000, 0.0000)
Th (0.5000, 0.5000, 0.5000)
Ni (0.2776, 0.2776, 0.2776)
Ni (0.7224, 0.7224, 0.7224)

=====

VASP calculation (PBE) on a relaxed structure of AlFeIr.

Computed properties:
* N(E_F): 0.998 states/eV per atom
* magnetic moment: 2.974 Bohr magnetons per cell
* energy of formation from the pure elements: -170 meV per atom

Lattice parameters (Å, degrees): 4.1123 4.1123 4.1123 60.00 60.00 60.00
Fractional coordinates of all 3 atoms:
Al (0.0000, 0.0000, 0.0000)
Fe (0.5000, 0.5000, 0.5000)
Ir (0.2500, 0.2500, 0.2500)

=====

- Which of these has the highest magnetic moment?
  SrTi2Tl2

=====

- What is the energy of formation from the pure elements in the second record?
  -369 meV per atom

=====

- Number 2 is which compound?
  ErThNi2